[1]
Ho7Tm2In2 | PBE-GGA | optimized geometry

Cell lengths 6.6620, 9.1079, 6.6620 Å; angles 90.00, 120.02, 90.00 degrees
Closest atoms and distances in Å follow each position.
Atoms (fractional coordinates):
1 In 0.7291 0.0000 0.2709  7 Ho 3.13-3.20, 2 In 3.36
2 In 0.2709 0.0000 0.7291  7 Ho 3.13-3.20, 2 In 3.36
3 Ho 0.0000 0.0000 0.0000  2 In 3.13
4 Ho 0.9998 0.2985 0.5003  2 In 3.20, 4 Ho 3.33-3.49, 2 Tm 3.42
5 Ho 0.4997 0.2985 0.0002  2 In 3.20, 4 Ho 3.33-3.49, 2 Tm 3.42
6 Ho 0.4998 0.1857 0.5002  2 In 3.14, 2 Tm 3.33, 5 Ho 3.38-3.49
7 Ho 0.5002 0.8143 0.4998  2 In 3.14, 2 Tm 3.33, 5 Ho 3.38-3.49
8 Ho 0.5003 0.7015 0.9998  2 In 3.20, 4 Ho 3.33-3.49, 2 Tm 3.42
9 Ho 0.0002 0.7015 0.4997  2 In 3.20, 4 Ho 3.33-3.49, 2 Tm 3.42
10 Tm 0.7566 0.5000 0.7566  2 Tm 3.24-3.42, 6 Ho 3.33-3.42
11 Tm 0.2434 0.5000 0.2434  2 Tm 3.24-3.42, 6 Ho 3.33-3.42

Output
ΔH_f (0 K) in eV per formula unit: 1.72



[2]
RbGa4Au3 | PBE-GGA | optimized geometry

Cell lengths 4.6567, 4.6567, 8.4463 Å; angles 90.00, 90.00, 90.00 degrees
Closest atoms and distances in Å follow each position.
Atoms (fractional coordinates):
1 Au 0.5000 0.5000 0.6812  4 Ga 2.65
2 Au 0.0000 0.0000 0.0000  8 Ga 2.73
3 Au 0.5000 0.5000 0.3188  4 Ga 2.65
4 Ga 0.0000 0.5000 0.1691  4 Au 2.65-2.73, 1 Ga 2.86
5 Ga 0.5000 0.0000 0.8309  4 Au 2.65-2.73, 1 Ga 2.86
6 Ga 0.5000 0.0000 0.1691  4 Au 2.65-2.73, 1 Ga 2.86
7 Ga 0.0000 0.5000 0.8309  4 Au 2.65-2.73, 1 Ga 2.86
8 Rb 0.0000 0.0000 0.5000  8 Au 3.63, 8 Ga 3.64

Output
ΔH_f (0 K) in eV per formula unit: -2.04



Per-record total energy, eV/atom: -4.067, -3.119
Per-record DOS at the Fermi energy, states/eV/f.u.: 12.950, 1.648